a.
## MgFePd6 (GGA-PBE)

Data for a relaxed MgFePd6 crystal.

## Properties
Calculated volume ... 121 Å³ per cell

a = 3.931 Å, b = 3.931 Å, c = 7.843 Å
α = 90.00°, β = 90.00°, γ = 90.00°
Space group P4/mmm (No. 123)
Unique sites:
Mg: 0.000 0.000 0.000 x1
Fe: 0.000 0.000 0.500 x1
Pd: 0.000 0.500 0.258 x4
Pd: 0.500 0.500 0.000 x1
Pd: 0.500 0.500 0.500 x1

b.
## MgFePd6 (GGA-PBE)

Data for a relaxed MgFePd6 crystal.

## Properties
Calculated volume ... 428 Å³ per cell

a = 7.3569 Å, b = 7.3569 Å, c = 9.1362 Å
α = 90.00°, β = 90.00°, γ = 120.00°
Space group R-3m (No. 166, hexagonal axes)
Unique sites:
Mg: 0.0000 0.0000 0.0000 x3
Fe: 0.0000 0.0000 0.5000 x3
Pd: 0.0816 0.5408 0.3680 x18

Tell me which of them is the least stable. Sure, it is b.